Entry 1:
BeSiB2Pt: relaxed, PBE-GGA.

Properties
D(E_F) in states/eV/f.u.: 1.6
Formation energy from raw total energies in eV/atom: 1.093
Calculated total energy in eV for the cell shown: -23.077

a b c (Å): 3.9534 3.9534 5.3439
angles (deg): 90.00 90.00 90.00
Space group P4/mmm (No. 123)
Inequivalent atoms, fractional coordinates:
Be (0.0000, 0.0000, 0.0000) [1 per cell]
Si (0.5000, 0.5000, 0.0000) [1 per cell]
B (0.0000, 0.5000, 0.5000) [2 per cell]
Pt (0.5000, 0.5000, 0.5000) [1 per cell]

Entry 2:
LuSc2Pa: relaxed, PBE-GGA.

Properties
E above lowest polymorph in meV per atom: 126
D(E_F) in states/eV/f.u.: 6.9
Energy of formation from the pure elements in eV per formula unit: 0.80
Calculated total energy in eV for the cell shown: -103.528

a b c (Å): 7.4424 7.4424 7.4424
angles (deg): 90.00 90.00 90.00
Space group Fm-3m (No. 225)
Inequivalent atoms, fractional coordinates:
Lu (0.0000, 0.0000, 0.0000) [4 per cell]
Sc (0.2500, 0.2500, 0.2500) [8 per cell]
Pa (0.0000, 0.0000, 0.5000) [4 per cell]

Entry 3:
CsTl2InBi: relaxed, PBE-GGA.

Properties
E above lowest polymorph in meV per atom: 170
D(E_F) in states/eV/f.u.: 2.7
Energy of formation from the pure elements in eV per formula unit: 0.19
Calculated total energy in eV for the cell shown: -12.014

a b c (Å): 6.0482 6.0482 6.0178
angles (deg): 90.00 90.00 90.00
Space group P4/mmm (No. 123)
Inequivalent atoms, fractional coordinates:
Cs (0.0000, 0.0000, 0.0000) [1 per cell]
Tl (0.0000, 0.5000, 0.5000) [2 per cell]
In (0.5000, 0.5000, 0.5000) [1 per cell]
Bi (0.5000, 0.5000, 0.0000) [1 per cell]

Entry 4:
TlAsPtBr2: relaxed, PBE-GGA.

Properties
E above lowest polymorph in meV per atom: 0
D(E_F) in states/eV/f.u.: 2.8
Formation energy from raw total energies in eV/atom: -0.097
Calculated total energy in eV for the cell shown: -16.888

a b c (Å): 5.5667 5.5667 4.6986
angles (deg): 90.00 90.00 90.00
Space group P4/mmm (No. 123)
Inequivalent atoms, fractional coordinates:
Tl (0.0000, 0.0000, 0.0000) [1 per cell]
As (0.5000, 0.5000, 0.0000) [1 per cell]
Pt (0.5000, 0.5000, 0.5000) [1 per cell]
Br (0.0000, 0.5000, 0.5000) [2 per cell]

Entry 5:
YMn2Br: relaxed, PBE-GGA.

Properties
E above lowest polymorph in meV per atom: 61
D(E_F) in states/eV/f.u.: 4.8
Formation energy from raw total energies in eV/atom: -0.031
Calculated total energy in eV for the cell shown: -79.804

a b c (Å): 3.8003 3.8003 23.0738
angles (deg): 90.00 90.00 120.00
Space group R3m (No. 160, hexagonal axes)
Inequivalent atoms, fractional coordinates:
Y (0.0000, 0.0000, 0.0000) [3 per cell]
Mn (0.0000, 0.0000, 0.2514) [3 per cell]
Mn (0.0000, 0.0000, 0.5609) [3 per cell]
Br (0.0000, 0.0000, 0.7514) [3 per cell]

Entry 6:
Tm7Ga2C2: relaxed, PBE-GGA.

Properties
D(E_F) in states/eV/f.u.: 9.9
Energy of formation from the pure elements in eV per formula unit: -0.02
Calculated total energy in eV for the cell shown: -111.636

a b c (Å): 7.7624 11.0317 7.1889
angles (deg): 90.00 96.55 90.00
Space group C2/m (No. 12)
Inequivalent atoms, fractional coordinates:
Tm (0.0000, 0.0000, 0.0000) [2 per cell]
Tm (0.0828, 0.5000, 0.7958) [4 per cell]
Tm (0.2489, 0.1887, 0.7667) [8 per cell]
Ga (0.0000, 0.3147, 0.5000) [4 per cell]
C (0.2178, 0.5000, 0.0996) [4 per cell]

Entry 7:
SmTaOsRu: relaxed, PBE-GGA.

Properties
D(E_F) in states/eV/f.u.: 2.8
Energy of formation from the pure elements in eV per formula unit: -0.40
Calculated total energy in eV for the cell shown: -149.907

a b c (Å): 6.6196 6.6196 6.6196
angles (deg): 90.00 90.00 90.00
Space group F-43m (No. 216)
Inequivalent atoms, fractional coordinates:
Sm (0.0000, 0.0000, 0.0000) [4 per cell]
Ta (0.0000, 0.0000, 0.5000) [4 per cell]
Os (0.2500, 0.2500, 0.7500) [4 per cell]
Ru (0.2500, 0.2500, 0.2500) [4 per cell]

Entry 8:
AlVBr2: relaxed, PBE-GGA.

Properties
E above lowest polymorph in meV per atom: 67
D(E_F) in states/eV/f.u.: 3.7
Formation energy from raw total energies in eV/atom: -0.072
Calculated total energy in eV for the cell shown: -65.972

a b c (Å): 9.2421 9.2421 5.3128
angles (deg): 90.00 90.00 90.00
Space group I-42d (No. 122)
Inequivalent atoms, fractional coordinates:
Al (0.0000, 0.0000, 0.0000) [4 per cell]
V (0.0000, 0.0000, 0.5000) [4 per cell]
Br (0.1060, 0.2500, 0.6250) [8 per cell]

Entry 9:
Sr2CuAg: relaxed, PBE-GGA.

Properties
D(E_F) in states/eV/f.u.: 2.8
Energy of formation from the pure elements in eV per formula unit: 0.21
Calculated total energy in eV for the cell shown: -20.207

a b c (Å): 4.5498 4.5498 11.5458
angles (deg): 90.00 90.00 90.00
Space group I-4m2 (No. 119)
Inequivalent atoms, fractional coordinates:
Sr (0.0000, 0.0000, 0.0000) [2 per cell]
Sr (0.0000, 0.5000, 0.2500) [2 per cell]
Cu (0.0000, 0.0000, 0.5000) [2 per cell]
Ag (0.0000, 0.5000, 0.7500) [2 per cell]

Entry 10:
MgNi2Mo2: relaxed, PBE-GGA.

Properties
E above lowest polymorph in meV per atom: 25
D(E_F) in states/eV/f.u.: 4.4
Energy of formation from the pure elements in eV per formula unit: 0.97
Calculated total energy in eV for the cell shown: -67.707

a b c (Å): 7.5344 7.5344 2.6437
angles (deg): 90.00 90.00 90.00
Space group P4/mbm (No. 127)
Inequivalent atoms, fractional coordinates:
Mg (0.0000, 0.0000, 0.0000) [2 per cell]
Ni (0.1713, 0.3287, 0.5000) [4 per cell]
Mo (0.1213, 0.6213, 0.0000) [4 per cell]

Entry 11:
SiHgTe2: relaxed, PBE-GGA.

Properties
E above lowest polymorph in meV per atom: 150
D(E_F) in states/eV/f.u.: 1.8
Formation energy from raw total energies in eV/atom: 0.207
Calculated total energy in eV for the cell shown: -22.358

a b c (Å): 13.7469 3.8616 4.3938
angles (deg): 90.00 92.01 90.00
Space group Cm (No. 8)
Inequivalent atoms, fractional coordinates:
Si (0.0000, 0.0000, 0.0000) [2 per cell]
Hg (0.2734, 0.5000, 0.4011) [2 per cell]
Te (0.0617, 0.5000, 0.4061) [2 per cell]
Te (0.3449, 0.0000, 0.9034) [2 per cell]

Entry 12:
Hf2GaGeMo: relaxed, PBE-GGA.

Properties
D(E_F) in states/eV/f.u.: 4.2
Energy of formation from the pure elements in eV per formula unit: 5.25
Calculated total energy in eV for the cell shown: -33.128

a b c (Å): 4.9579 4.9579 4.4146
angles (deg): 90.00 90.00 90.00
Space group P4/mmm (No. 123)
Inequivalent atoms, fractional coordinates:
Hf (0.0000, 0.5000, 0.0000) [2 per cell]
Ga (0.0000, 0.0000, 0.0000) [1 per cell]
Ge (0.0000, 0.0000, 0.5000) [1 per cell]
Mo (0.5000, 0.5000, 0.5000) [1 per cell]

Entry 13:
Mn2CuAs: relaxed, PBE-GGA.

Properties
D(E_F) in states/eV/f.u.: 3.6
Energy of formation from the pure elements in eV per formula unit: 0.99
Calculated total energy in eV for the cell shown: -78.281

a b c (Å): 2.8456 2.8456 24.1838
angles (deg): 90.00 90.00 120.00
Space group R3m (No. 160, hexagonal axes)
Inequivalent atoms, fractional coordinates:
Mn (0.0000, 0.0000, 0.0000) [3 per cell]
Mn (0.0000, 0.0000, 0.2565) [3 per cell]
Cu (0.0000, 0.0000, 0.7501) [3 per cell]
As (0.0000, 0.0000, 0.5084) [3 per cell]

Entry 14:
YPuTc4: relaxed, PBE-GGA.

Properties
D(E_F) in states/eV/f.u.: 11.4
Energy of formation from the pure elements in eV per formula unit: -0.18
Calculated total energy in eV for the cell shown: -249.740

a b c (Å): 7.6305 7.6305 7.6305
angles (deg): 90.00 90.00 90.00
Space group F-43m (No. 216)
Inequivalent atoms, fractional coordinates:
Y (0.0000, 0.0000, 0.0000) [4 per cell]
Pu (0.2500, 0.2500, 0.7500) [4 per cell]
Tc (0.1251, 0.1251, 0.3749) [16 per cell]

Entry 15:
MnFe2Si: relaxed, PBE-GGA.

Properties
D(E_F) in states/eV/f.u.: 3.4
Formation energy from raw total energies in eV/atom: -0.237
Calculated total energy in eV for the cell shown: -32.466

a b c (Å): 2.8382 3.9088 3.9280
angles (deg): 90.00 90.00 90.00
Space group Pmmm (No. 47)
Inequivalent atoms, fractional coordinates:
Mn (0.0000, 0.0000, 0.0000) [1 per cell]
Fe (0.0000, 0.5000, 0.5000) [1 per cell]
Fe (0.5000, 0.0000, 0.5000) [1 per cell]
Si (0.5000, 0.5000, 0.0000) [1 per cell]

Entry 16:
SmHo12Er3: relaxed, PBE-GGA.

Properties
D(E_F) in states/eV/f.u.: 20.8
Energy of formation from the pure elements in eV per formula unit: 0.33
Calculated total energy in eV for the cell shown: -73.012

a b c (Å): 4.9916 4.9916 19.9535
angles (deg): 90.00 90.00 90.00
Space group P4/mmm (No. 123)
Inequivalent atoms, fractional coordinates:
Sm (0.0000, 0.0000, 0.0000) [1 per cell]
Ho (0.0000, 0.5000, 0.1263) [4 per cell]
Ho (0.0000, 0.5000, 0.3754) [4 per cell]
Ho (0.5000, 0.5000, 0.0000) [1 per cell]
Ho (0.5000, 0.5000, 0.2511) [2 per cell]
Ho (0.5000, 0.5000, 0.5000) [1 per cell]
Er (0.0000, 0.0000, 0.2507) [2 per cell]
Er (0.0000, 0.0000, 0.5000) [1 per cell]

Entry 17:
AgP2Se: relaxed, PBE-GGA.

Properties
D(E_F) in states/eV/f.u.: 1.8
Formation energy from raw total energies in eV/atom: 0.437
Calculated total energy in eV for the cell shown: -15.409

a b c (Å): 2.7883 4.4366 6.0962
angles (deg): 90.00 90.09 90.00
Space group P2/m (No. 10)
Inequivalent atoms, fractional coordinates:
Ag (0.0000, 0.0000, 0.0000) [1 per cell]
P (0.4992, 0.5000, 0.8132) [2 per cell]
Se (0.5000, 0.0000, 0.5000) [1 per cell]

Entry 18:
DyErZn: relaxed, PBE-GGA.

Properties
E above lowest polymorph in meV per atom: 160
D(E_F) in states/eV/f.u.: 3.0
Energy of formation from the pure elements in eV per formula unit: -0.16
Calculated total energy in eV for the cell shown: -10.599

a b c (Å): 4.9727 4.9727 3.6059
angles (deg): 90.00 90.00 120.00
Space group P3m1 (No. 156)
Inequivalent atoms, fractional coordinates:
Dy (0.0000, 0.0000, 0.0000) [1 per cell]
Er (0.6667, 0.3333, 0.5363) [1 per cell]
Zn (0.3333, 0.6667, 0.2906) [1 per cell]

Entry 19:
Ba2ZnSiPt6: relaxed, PBE-GGA.

Properties
D(E_F) in states/eV/f.u.: 3.1
Formation energy from raw total energies in eV/atom: -0.705
Calculated total energy in eV for the cell shown: -53.834

a b c (Å): 6.6279 6.6446 6.9139
angles (deg): 90.16 118.44 119.87
Space group P-1 (No. 2)
Inequivalent atoms, fractional coordinates:
Ba (0.0830, 0.2914, 0.3744) [2 per cell]
Zn (0.5000, 0.0000, 0.5000) [1 per cell]
Si (0.5000, 0.5000, 0.0000) [1 per cell]
Pt (0.0125, 0.2567, 0.8599) [2 per cell]
Pt (0.3936, 0.1506, 0.1379) [2 per cell]
Pt (0.3936, 0.7434, 0.1372) [2 per cell]

Entry 20:
Nd4Mg2Ga: relaxed, PBE-GGA.

Properties
D(E_F) in states/eV/f.u.: 8.5
Energy of formation from the pure elements in eV per formula unit: -0.35
Calculated total energy in eV for the cell shown: -76.924

a b c (Å): 5.3452 5.3452 25.9338
angles (deg): 90.00 90.00 120.00
Space group R-3m (No. 166, hexagonal axes)
Inequivalent atoms, fractional coordinates:
Nd (0.0000, 0.0000, 0.1222) [6 per cell]
Nd (0.0000, 0.0000, 0.3740) [6 per cell]
Mg (0.0000, 0.0000, 0.2469) [6 per cell]
Ga (0.0000, 0.0000, 0.5000) [3 per cell]